## Mn2Tl3ZnF9 (GGA+U)

Data for a geometry-optimized Mn2Tl3ZnF9 structure.

Cell lengths 6.042, 6.042, 7.406 Å; angles 90.00, 90.00, 120.00 degrees
Each line ends with the local moment (μB).
Fractional coordinates of all 15 atoms:
F (0.327, 0.164, 0.662)  0.02
Tl (0.000, 0.000, 0.000)  0.00
F (0.500, 0.500, 0.000)  0.04
F (0.500, 0.000, 0.000)  0.04
Mn (0.333, 0.667, 0.170)  4.69
Tl (0.333, 0.667, 0.665)  0.00
F (0.836, 0.164, 0.662)  0.02
F (0.836, 0.673, 0.662)  0.02
F (0.164, 0.836, 0.338)  0.02
F (0.000, 0.500, 0.000)  0.04
F (0.673, 0.836, 0.338)  0.02
Zn (0.000, 0.000, 0.500)  0.02
Tl (0.667, 0.333, 0.335)  0.00
Mn (0.667, 0.333, 0.830)  4.69
F (0.164, 0.327, 0.338)  0.02

SG = P-3m1 (164)
M_tot = 10.000 μB per cell
DOS(E_F) = 0.00 states/eV/f.u.
Final energy = -74.3 eV/cell